Here is a relaxed structure of RbTaNi2 from Alexandria via LeMat-Bulk. Energies are from PBE.

Cell: 4.6820 4.6820 4.6820 Å, 60.00 60.00 60.00°
Atoms (fractional coordinates):
Ni (0.7500, 0.7500, 0.7500)
Ni (0.2500, 0.2500, 0.2500)
Rb (0.0000, 0.0000, 0.0000)
Ta (0.5000, 0.5000, 0.5000)

Computed properties:
* distance to the lowest polymorph of the same formula: 177 meV/atom
* Fermi-level density of states: 1.12 states/eV/atom


Here is a relaxed structure of Dy5Bi5Pt from Alexandria via LeMat-Bulk. Energies are from PBE.

Cell: 6.1489 7.5648 8.8460 Å, 108.90 90.00 113.98°
Atoms (fractional coordinates):
Bi (0.6719, 0.3438, 0.3402)
Bi (0.0000, 0.0000, 0.5000)
Bi (0.3281, 0.6562, 0.6598)
Bi (0.6436, 0.2873, 0.7919)
Dy (0.1597, 0.3195, 0.3105)
Bi (0.3564, 0.7127, 0.2081)
Pt (0.0000, 0.0000, 0.0000)
Dy (0.1661, 0.3322, 0.8533)
Dy (0.8339, 0.6678, 0.1467)
Dy (0.8403, 0.6805, 0.6895)
Dy (0.5000, 0.0000, 0.0000)

Computed properties:
* Fermi-level density of states: 0.64 states/eV/atom
* VASP energy: -5.00 eV/atom


Here is a relaxed structure of TaMnCl3 from Alexandria via LeMat-Bulk. Energies are from PBE.

Cell: 4.9076 4.9076 4.9076 Å, 90.00 90.00 90.00°
Each line ends with the local moment (μB).
Atoms (fractional coordinates):
Cl (0.5000, 0.0000, 0.0000)  -0.01
Cl (0.0000, 0.0000, 0.5000)  -0.04
Mn (0.5000, 0.5000, 0.5000)  -4.63
Ta (0.0000, 0.0000, 0.0000)  0.21
Cl (0.0000, 0.5000, 0.0000)  -0.04

Computed properties:
* distance to the lowest polymorph of the same formula: 0 meV/atom
* Fermi-level density of states: 1.43 states/eV/atom
* formation energy without anion corrections: 0.063 eV/atom


Here is a relaxed structure of Rh2C from Alexandria via LeMat-Bulk. Energies are from PBE.

Cell: 5.3590 5.3590 5.3590 Å, 30.47 30.47 30.47°
Atoms (fractional coordinates):
C (0.0000, 0.0000, 0.0000)
Rh (0.5779, 0.5779, 0.5779)
Rh (0.7555, 0.7555, 0.7555)

Computed properties:
* distance to the lowest polymorph of the same formula: 219 meV/atom
* Fermi-level density of states: 1.15 states/eV/atom


Number 1: volume 72.57 Å³ per cell. Number 2: volume 351.53 Å³ per cell. Number 3: volume 118.20 Å³ per cell. Number 4: volume 35.08 Å³ per cell.